(1)
Below is a relaxed La2BeB crystal, with properties calculated at the PBE-GGA level. Values from VASP.

The structure in Quantum ESPRESSO input format:
```
&SYSTEM
  ibrav = 0, nat = 8, ntyp = 3
/
ATOMIC_SPECIES
Be 9.01 Be.upf
B 10.81 B.upf
La 138.91 La.upf
ATOMIC_POSITIONS angstrom
Be 3.7328 3.7328 0.0000
Be 3.7328 7.4656 1.8353
B 0.0000 0.0000 0.0000
B 7.4656 3.7328 1.8353
La 5.9453 1.8664 0.9177
La 1.5203 5.5992 0.9177
La 5.5992 5.2531 2.7530
La 9.3319 9.6780 2.7530
CELL_PARAMETERS angstrom
7.4656 0.0000 0.0000
0.0000 7.4656 0.0000
3.7328 3.7328 3.6707
```

Computed properties:
Its calculated volume is 25.57 A^3/atom. For the total magnetic moment, the calculation gives 0.00 μB/cell. As for the energy relative to the lowest polymorph listed for this composition: 248 meV/atom. For the density, the calculation gives 4.8 g/cm³. The formation energy comes out at 0.60 eV/atom.

---

(2)
Below is a relaxed CeSiPt2 crystal, with properties calculated at the PBE-GGA level. Values from VASP.

The structure in Quantum ESPRESSO input format:
```
&SYSTEM
  ibrav = 0, nat = 8, ntyp = 3
/
ATOMIC_SPECIES
Si 28.09 Si.upf
Ce 140.12 Ce.upf
Pt 195.08 Pt.upf
ATOMIC_POSITIONS angstrom
Si 1.3698 -2.4672 -0.6210
Si 3.6261 -4.7863 1.8443
Ce 0.3268 -5.2618 -0.1106
Ce 4.6690 -1.9917 1.3338
Pt 3.1294 -4.2258 -0.6590
Pt 1.8665 -3.0277 1.8823
Pt -0.6686 -2.2430 0.9983
Pt 5.6645 -5.0104 0.2250
CELL_PARAMETERS angstrom
-1.6896 -1.7631 3.2803
0.3872 -3.5409 -4.2532
6.2983 -1.9494 2.1962
```

Computed properties:
The value obtained for the uncorrected formation energy is -1.06 eV per atom. Its calculated volume is 18.32 A^3/atom. For the total magnetic moment, the calculation gives 0.00 μB/cell. For the density, the calculation gives 12.7 g/cm³.

---

(3)
Below is a relaxed Rb2TbMnTe4 crystal, with properties calculated at the PBE-GGA level. Values from VASP.

The structure in Quantum ESPRESSO input format:
```
&SYSTEM
  ibrav = 0, nat = 16, ntyp = 4
/
ATOMIC_SPECIES
Rb 85.47 Rb.upf
Tb 158.93 Tb.upf
Mn 54.94 Mn.upf
Te 127.60 Te.upf
ATOMIC_POSITIONS angstrom
Rb -1.2612 -6.4620 4.5275
Rb 0.4682 1.5221 4.4207
Rb -3.0100 3.8682 6.5365
Rb 1.5767 -2.8820 5.6266
Tb -9.7943 1.1121 3.1324
Tb 1.1085 -4.4041 1.2058
Mn -2.3697 -2.0579 3.3216
Mn 2.2170 -8.8080 2.4118
Te 2.0506 -5.8789 3.7438
Te -2.8106 0.6329 5.0384
Te -1.9288 -4.7489 1.6048
Te -6.7900 1.7629 2.8994
Te -2.0949 -3.2284 5.9362
Te -5.0503 -2.6112 4.2100
Te 0.3109 -1.5047 2.4332
Te -2.6445 -0.8876 0.7070
CELL_PARAMETERS angstrom
-6.9564 4.6922 4.2315
-5.6757 -7.1601 -2.1982
7.8928 -1.6480 4.6099
```

Computed properties:
The value obtained for the uncorrected formation energy is -0.83 eV per atom. Its calculated volume is 35.93 A^3/atom. For the total magnetic moment, the calculation gives 8.01 μB/cell. For the density, the calculation gives 5.2 g/cm³.

---

(4)
Below is a relaxed SrInAg crystal, with properties calculated at the PBE-GGA level. Values from VASP.

The structure in Quantum ESPRESSO input format:
```
&SYSTEM
  ibrav = 0, nat = 6, ntyp = 3
/
ATOMIC_SPECIES
Sr 87.62 Sr.upf
In 114.82 In.upf
Ag 107.87 Ag.upf
ATOMIC_POSITIONS angstrom
Sr 0.6240 2.6376 0.9600
Sr 2.9203 3.7567 4.6420
In 2.9209 5.6009 1.0298
In 5.2257 6.6171 5.4521
Ag 5.2291 5.3906 2.7017
Ag 2.9177 6.8271 3.7802
CELL_PARAMETERS angstrom
4.6139 0.0103 0.0035
-0.0117 5.8132 0.8763
2.2821 3.8651 7.1274
```

Computed properties:
Its calculated volume is 29.25 A^3/atom. For the total magnetic moment, the calculation gives 0.00 μB/cell. For the density, the calculation gives 5.9 g/cm³. The formation energy comes out at -0.33 eV/atom.

---

(5)
Below is a relaxed KSb3Au4 crystal, with properties calculated at the PBE-GGA level. Values from VASP.

The structure in Quantum ESPRESSO input format:
```
&SYSTEM
  ibrav = 0, nat = 8, ntyp = 3
/
ATOMIC_SPECIES
Sb 121.76 Sb.upf
K 39.10 K.upf
Au 196.97 Au.upf
ATOMIC_POSITIONS angstrom
Sb 0.0000 0.0000 0.0000
Sb 0.0992 -4.1866 1.5242
Sb 1.5248 -5.2252 3.9020
K 2.0325 -1.4808 3.3901
Au -1.2951 -1.8166 1.8681
Au 1.5327 -2.4708 -0.1131
Au 1.3119 -3.7158 6.2162
Au 4.1396 -4.3701 4.2351
CELL_PARAMETERS angstrom
-4.0483 -2.5708 1.3042
1.6072 -3.8794 -2.6581
4.0650 -2.9615 6.7801
```

Computed properties:
The value obtained for the uncorrected formation energy is -0.17 eV per atom. Its calculated volume is 26.06 A^3/atom. For the total magnetic moment, the calculation gives 0.00 μB/cell. For the density, the calculation gives 9.5 g/cm³.

---

(6)
Below is a relaxed TaCoMo crystal, with properties calculated at the PBE-GGA level. Values from VASP.

The structure in Quantum ESPRESSO input format:
```
&SYSTEM
  ibrav = 0, nat = 3, ntyp = 3
/
ATOMIC_SPECIES
Co 58.93 Co.upf
Mo 95.94 Mo.upf
Ta 180.95 Ta.upf
ATOMIC_POSITIONS angstrom
Co -6.1448 4.0994 -5.0575
Mo -2.0905 1.3947 -1.7206
Ta -4.0819 2.7232 -3.3596
CELL_PARAMETERS angstrom
-1.9739 3.9988 -2.3013
-4.1847 0.1098 -2.7676
1.8740 -1.5899 4.3753
```

Computed properties:
Its calculated volume is 15.13 A^3/atom. For the total magnetic moment, the calculation gives 1.59 μB/cell. As for the energy relative to the lowest polymorph listed for this composition: 232 meV/atom. For the density, the calculation gives 12.3 g/cm³. The formation energy comes out at 0.09 eV/atom.

---

(7)
Below is a relaxed Ca2TbPb crystal, with properties calculated at the PBE-GGA level. Values from VASP.

The structure in Quantum ESPRESSO input format:
```
&SYSTEM
  ibrav = 0, nat = 4, ntyp = 3
/
ATOMIC_SPECIES
Pb 207.20 Pb.upf
Ca 40.08 Ca.upf
Tb 158.93 Tb.upf
ATOMIC_POSITIONS angstrom
Pb 0.0000 0.0000 0.0000
Ca 1.8205 1.0511 9.2866
Ca 5.4615 3.1532 3.2460
Tb 3.6410 2.1021 6.2663
CELL_PARAMETERS angstrom
3.6410 0.0000 0.0000
1.8205 3.1532 0.0000
1.8205 1.0511 12.5326
```

Computed properties:
Its calculated volume is 35.97 A^3/atom. For the total magnetic moment, the calculation gives 0.00 μB/cell. As for the energy relative to the lowest polymorph listed for this composition: 344 meV/atom. For the density, the calculation gives 5.2 g/cm³. The formation energy comes out at 0.06 eV/atom.

---

(8)
Below is a relaxed TbPr2Ho7 crystal, with properties calculated at the PBE-GGA level. Values from VASP.

The structure in Quantum ESPRESSO input format:
```
&SYSTEM
  ibrav = 0, nat = 10, ntyp = 3
/
ATOMIC_SPECIES
Tb 158.93 Tb.upf
Pr 140.91 Pr.upf
Ho 164.93 Ho.upf
ATOMIC_POSITIONS angstrom
Tb 0.0000 0.0000 0.0000
Pr 1.2235 -6.4140 -2.6358
Pr -6.6511 2.3007 -0.2302
Ho 3.6282 -8.8427 -1.5479
Ho -8.3535 4.4171 2.1125
Ho -3.3644 1.1157 -1.0110
Ho -2.0633 -5.2289 -1.8550
Ho 0.3371 -2.9807 -2.1418
Ho -5.7648 -1.1325 -0.7242
Ho -2.7138 -2.0566 -1.4330
CELL_PARAMETERS angstrom
-0.7024 0.3123 -3.4306
7.1184 -12.7053 -2.6141
-11.8437 8.2798 3.1787
```

Computed properties:
Its calculated volume is 32.98 A^3/atom. For the total magnetic moment, the calculation gives 0.00 μB/cell. As for the energy relative to the lowest polymorph listed for this composition: 137 meV/atom. For the density, the calculation gives 8.0 g/cm³. The formation energy comes out at 0.16 eV/atom.

---

(9)
Below is a relaxed ZnCo2W crystal, with properties calculated at the PBE-GGA level. Values from VASP.

The structure in Quantum ESPRESSO input format:
```
&SYSTEM
  ibrav = 0, nat = 4, ntyp = 3
/
ATOMIC_SPECIES
Co 58.93 Co.upf
W 183.84 W.upf
Zn 65.41 Zn.upf
ATOMIC_POSITIONS angstrom
Co 0.1228 0.0369 0.1239
Co 6.9660 2.0922 3.1131
W 4.6811 1.4060 2.3277
Zn 2.4169 0.7259 0.8878
CELL_PARAMETERS angstrom
4.6358 0.0052 0.0056
3.8715 2.5500 0.0056
0.9506 0.2855 4.2904
```

Computed properties:
Its calculated volume is 12.65 A^3/atom. For the total magnetic moment, the calculation gives 0.00 μB/cell. For the density, the calculation gives 12.0 g/cm³. The formation energy comes out at 0.10 eV/atom.